DFT (PBE-GGA) results for B5C7 after structural relaxation.

Results
As for the space-group type: No. 8. The polymorph energy (0 for the lowest one) is 56 meV per atom. The calculated density is 2.47 g cm⁻³. As for the electronic total energy: -94.2 eV for the cell shown.

a b c (Å): 4.5625 4.5625 8.5254
angles (deg): 108.87 108.87 33.81
Last column: nearest neighbours and their distance in Å.
Atoms (fractional coordinates):
1 B 0.7692 0.7692 0.3690  3 C 1.55-1.59
2 B 0.4696 0.4696 0.4347  3 C 1.58-1.62
3 B 0.2957 0.2957 0.1035  3 C 1.56
4 B 0.9227 0.9227 0.9162  3 C 1.54-1.58
5 B 0.6463 0.6463 0.8202  4 C 1.63-1.71
6 C 0.2945 0.2945 0.2866  4 B 1.55-1.62
7 C 0.7990 0.7990 0.0089  4 B 1.54-1.71
8 C 0.4663 0.4663 0.8394  1 C 1.58, 3 B 1.58-1.63
9 C 0.3239 0.3239 0.6659  4 C 1.56-1.59
10 C 0.1589 0.1589 0.6986  2 C 1.49-1.56
11 C 0.0191 0.0191 0.5395  1 C 1.49, 2 B 1.58
12 C 0.8349 0.8349 0.5676  3 C 1.59-1.70, 1 B 1.59

=====

DFT (PBE-GGA) results for MnTlSn2 after structural relaxation.

Results
As for the space-group type: No. 122. The polymorph energy (0 for the lowest one) is 227 meV per atom. The calculated density is 8.04 g cm⁻³. As for the electronic total energy: -36.3 eV for the cell shown.

a b c (Å): 4.4018 4.4018 11.0409
angles (deg): 78.50 78.50 90.00
Last column: nearest neighbours and their distance in Å.
Atoms (fractional coordinates):
1 Tl 0.0000 0.0000 0.0000  4 Sn 3.10, 4 Mn 3.11
2 Tl 0.7500 0.2500 0.5000  4 Sn 3.10, 4 Mn 3.11
3 Mn 0.5000 0.5000 0.0000  4 Sn 3.05, 4 Tl 3.11
4 Mn 0.2500 0.7500 0.5000  4 Sn 3.05, 4 Tl 3.11
5 Sn 0.6082 0.1250 0.2500  4 Sn 3.01-3.22, 2 Mn 3.05, 2 Tl 3.10
6 Sn 0.1418 0.6250 0.2500  4 Sn 3.01-3.22, 2 Mn 3.05, 2 Tl 3.10
7 Sn 0.3750 0.3918 0.7500  4 Sn 3.01-3.22, 2 Mn 3.05, 2 Tl 3.10
8 Sn 0.8750 0.8582 0.7500  4 Sn 3.01-3.22, 2 Mn 3.05, 2 Tl 3.10

=====

DFT (PBE-GGA) results for VSiS2Cl after structural relaxation.

Results
As for the space-group type: No. 123. The polymorph energy (0 for the lowest one) is 132 meV per atom. The uncorrected formation energy is 0.200 eV per atom. The calculated density is 3.09 g cm⁻³. As for the electronic total energy: -23.6 eV for the cell shown.

a b c (Å): 4.6219 4.6219 4.4861
angles (deg): 90.00 90.00 90.00
Last column: nearest neighbours and their distance in Å.
Atoms (fractional coordinates):
1 S 0.0000 0.5000 0.0000  2 Si 2.31
2 S 0.5000 0.0000 0.0000  2 Si 2.31
3 Cl 0.0000 0.0000 0.5000  2 Si 2.24
4 Si 0.0000 0.0000 0.0000  2 Cl 2.24, 4 S 2.31
5 V 0.5000 0.5000 0.5000  8 S 3.22, 4 Cl 3.27